# 1
Ti6Tc5Mo | GGA-PBE | relaxed

a b c (Å): 6.9520 6.9520 6.2329
angles (deg): 90.00 90.00 143.02
Closest atoms and distances in Å follow each position.
Positions (direct):
Ti  0.0000  0.0000  0.2466  6 Tc 2.69, 2 Mo 2.71
Ti  0.0000  0.0000  0.7534  6 Tc 2.69, 2 Mo 2.71
Ti  0.3317  0.6683  0.2477  7 Tc 2.66-2.71, 1 Mo 2.72
Ti  0.3317  0.6683  0.7523  7 Tc 2.66-2.71, 1 Mo 2.72
Ti  0.6683  0.3317  0.2477  7 Tc 2.66-2.71, 1 Mo 2.72
Ti  0.6683  0.3317  0.7523  7 Tc 2.66-2.71, 1 Mo 2.72
Tc  0.1654  0.8346  0.5000  8 Ti 2.69-2.71
Tc  0.1672  0.8328  0.0000  8 Ti 2.66-2.69
Tc  0.5000  0.5000  0.0000  8 Ti 2.69-2.70
Tc  0.8328  0.1672  0.0000  8 Ti 2.66-2.69
Tc  0.8346  0.1654  0.5000  8 Ti 2.69-2.71
Mo  0.5000  0.5000  0.5000  8 Ti 2.71-2.72

SG = Cmmm
crystal system = orthorhombic
size of the total moment = 0.00 Bohr magnetons per cell
ΔE_f = -0.4176 eV per atom

---

# 2
ReSCl2O | GGA-PBE | relaxed

a b c (Å): 4.8443 4.8443 4.4971
angles (deg): 90.00 90.00 90.00
Closest atoms and distances in Å follow each position.
Positions (direct):
Re  0.0000  0.0000  0.0000  2 S 2.25, 4 Cl 2.42
S  0.0000  0.0000  0.5000  2 Re 2.25
Cl  0.0000  0.5000  0.0000  2 Re 2.42
Cl  0.5000  0.0000  0.0000  2 Re 2.42
O  0.5000  0.5000  0.5000  8 Cl 3.30, 4 S 3.43

SG = P4/mmm
ΔE to the lowest computed polymorph = 0 meV per atom
crystal system = tetragonal
size of the total moment = 0.67 Bohr magnetons per cell
uncorrected formation energy = 0.56 eV per atom

---

# 3
GaPdI6 | GGA-PBE | relaxed

a b c (Å): 7.4053 7.4053 7.0818
angles (deg): 94.09 94.09 121.48
Closest atoms and distances in Å follow each position.
Positions (direct):
Ga  0.0000  0.0000  0.0000  6 I 2.81-2.82
Pd  0.0000  0.0000  0.5000  6 I 2.70-2.97
I  0.0030  0.7149  0.7159  1 Pd 2.70, 1 Ga 2.82
I  0.2851  0.9970  0.2841  1 Pd 2.70, 1 Ga 2.82
I  0.3182  0.3182  0.8165  1 Ga 2.81, 1 Pd 2.97
I  0.6818  0.6818  0.1835  1 Ga 2.81, 1 Pd 2.97
I  0.7149  0.0030  0.7159  1 Pd 2.70, 1 Ga 2.82
I  0.9970  0.2851  0.2841  1 Pd 2.70, 1 Ga 2.82

SG = C2/m
ΔE to the lowest computed polymorph = 0 meV per atom
crystal system = monoclinic
size of the total moment = 0.00 Bohr magnetons per cell
uncorrected formation energy = -0.22 eV per atom

---

# 4
SrV2As2 | GGA-PBE | relaxed

a b c (Å): 7.2394 7.2394 7.2394
angles (deg): 149.08 149.08 44.29
Closest atoms and distances in Å follow each position.
Positions (direct):
Sr  0.0000  0.0000  0.0000  8 As 3.24
V  0.2500  0.7500  0.5000  4 As 2.51, 4 V 2.73
V  0.7500  0.2500  0.5000  4 As 2.51, 4 V 2.73
As  0.3699  0.3699  0.0000  4 V 2.51
As  0.6301  0.6301  0.0000  4 V 2.51

SG = I4/mmm
ΔE to the lowest computed polymorph = 0 meV per atom
crystal system = tetragonal
size of the total moment = 0.00 Bohr magnetons per cell
ΔE_f = -0.6815 eV per atom

---

# 5
TlRhBr2 | GGA-PBE | relaxed

a b c (Å): 8.9555 8.9555 8.9555
angles (deg): 157.28 156.55 32.88
Closest atoms and distances in Å follow each position.
Positions (direct):
Tl  0.0000  0.0000  0.0000  4 Br 3.09, 2 Rh 3.11
Rh  0.1488  0.6488  0.5000  4 Br 2.62
Br  0.3973  0.3973  0.0000  4 Tl 3.09
Br  0.6872  0.1872  0.5000  4 Rh 2.62

SG = Imm2
ΔE to the lowest computed polymorph = 267 meV per atom
crystal system = orthorhombic
size of the total moment = 0.00 Bohr magnetons per cell
uncorrected formation energy = -0.03 eV per atom

---

# 6
La2TcRu2 | GGA-PBE | relaxed

a b c (Å): 6.7339 6.7339 4.7665
angles (deg): 90.00 90.00 90.00
Closest atoms and distances in Å follow each position.
Positions (direct):
La  0.1786  0.3214  0.0000  2 Ru 2.89
La  0.3214  0.8214  0.0000  2 Ru 2.89
La  0.6786  0.1786  0.0000  2 Ru 2.89
La  0.8214  0.6786  0.0000  2 Ru 2.89
Tc  0.0000  0.0000  0.5000  4 Ru 2.57
Tc  0.5000  0.5000  0.5000  4 Ru 2.57
Ru  0.1490  0.6490  0.5000  2 Tc 2.57, 1 Ru 2.84
Ru  0.3510  0.1490  0.5000  2 Tc 2.57, 1 Ru 2.84
Ru  0.6490  0.8510  0.5000  2 Tc 2.57, 1 Ru 2.84
Ru  0.8510  0.3510  0.5000  2 Tc 2.57, 1 Ru 2.84

SG = P4/mbm
crystal system = tetragonal
size of the total moment = 0.00 Bohr magnetons per cell
ΔE_f = 0.0368 eV per atom